(1)
Below is a geometry-optimized LaPm4Ho7 structure, with properties calculated at the PBE level.

Computed properties:
The space group is C2/m, No. 12. For the formation energy, the calculation gives 0.25 eV/atom.

a b c (Å): 5.9282 11.6470 6.7732
angles (deg): 83.06 64.05 75.26
Last column: nearest neighbours and their distance in Å.
Atoms (fractional coordinates):
Pm  0.7615  0.6760  0.8010  5 Ho 3.28-3.66
Pm  0.3674  0.7763  0.4889  7 Ho 3.39-3.64, 2 Pm 3.69
Pm  0.6326  0.2237  0.5111  7 Ho 3.39-3.64, 2 Pm 3.69
Ho  0.9370  0.3261  0.7999  4 Ho 3.31-3.56, 3 Pm 3.64-3.66
Ho  0.6332  0.4999  0.2336  4 Ho 3.24-3.56, 5 Pm 3.28-3.57
La  0.0000  0.0000  0.0000  4 Ho 2.96-3.15
Ho  0.0630  0.6739  0.2001  4 Ho 3.31-3.56, 3 Pm 3.64-3.66
Ho  0.3668  0.5001  0.7664  4 Ho 3.24-3.56, 5 Pm 3.28-3.57
Ho  0.2106  0.0771  0.5016  1 La 3.15, 4 Ho 3.19-3.44, 4 Pm 3.32-3.39
Ho  0.5000  0.0000  0.0000  2 La 2.96, 2 Ho 3.19
Ho  0.7894  0.9229  0.4984  1 La 3.15, 4 Ho 3.19-3.44, 4 Pm 3.32-3.39
Pm  0.2385  0.3240  0.1990  5 Ho 3.28-3.66

=====

(2)
Below is a geometry-optimized La4Pm3Ho structure, with properties calculated at the PBE level.

Computed properties:
The space group is C2/m, No. 12. For the formation energy, the calculation gives 0.20 eV/atom.

a b c (Å): 3.5220 6.2979 12.9437
angles (deg): 93.43 97.82 90.00
Last column: nearest neighbours and their distance in Å.
Atoms (fractional coordinates):
La  0.7200  0.2445  0.4400  4 La 3.43-3.52, 1 Pm 3.51
La  0.8949  0.7672  0.7898  3 Pm 3.26-3.30, 4 La 3.43-3.52, 2 Ho 3.47
Ho  0.5000  0.0000  0.0000  4 La 3.47, 2 Ho 3.52, 4 Pm 3.61
La  0.1051  0.2328  0.2102  3 Pm 3.26-3.30, 4 La 3.43-3.52, 2 Ho 3.47
Pm  0.1430  0.7423  0.2859  3 La 3.29-3.51, 2 Pm 3.52
Pm  0.8570  0.2577  0.7141  3 La 3.29-3.51, 2 Pm 3.52
La  0.2800  0.7555  0.5600  4 La 3.43-3.52, 1 Pm 3.51
Pm  0.0000  0.5000  0.0000  2 La 3.26, 2 Pm 3.52, 4 Ho 3.61

=====

(3)
Below is a geometry-optimized La4Pm5Ho structure, with properties calculated at the PBE level.

Computed properties:
The space group is C2/m, No. 12. For the formation energy, the calculation gives 0.06 eV/atom.

a b c (Å): 3.6019 11.8130 12.2886
angles (deg): 136.58 98.43 90.00
Last column: nearest neighbours and their distance in Å.
Atoms (fractional coordinates):
Pm  0.5000  0.5000  0.0000  6 La 3.48-3.80, 6 Pm 3.60-3.65
Pm  0.1922  0.7978  0.3844  4 La 3.35-3.72, 4 Pm 3.60-3.65
La  0.9084  0.6141  0.8169  6 Pm 3.49-3.81, 4 La 3.60-3.72, 2 Ho 3.75
La  0.6055  0.9140  0.2110  6 Pm 3.35-3.72, 1 Ho 3.38, 4 La 3.60-3.72
La  0.3945  0.0860  0.7890  6 Pm 3.35-3.72, 1 Ho 3.38, 4 La 3.60-3.72
Pm  0.8078  0.2022  0.6156  4 La 3.35-3.72, 4 Pm 3.60-3.65
Ho  0.5000  0.0000  0.0000  6 La 3.38-3.75, 2 Ho 3.60
Pm  0.2051  0.3023  0.4102  5 La 3.55-3.81, 6 Pm 3.60-3.90, 2 Ho 3.84
La  0.0916  0.3859  0.1831  6 Pm 3.49-3.81, 4 La 3.60-3.72, 2 Ho 3.75
Pm  0.7949  0.6977  0.5898  5 La 3.55-3.81, 6 Pm 3.60-3.90, 2 Ho 3.84

=====

(4)
Below is a geometry-optimized La2Pm7Ho4 structure, with properties calculated at the PBE level.

Computed properties:
The space group is P-1, No. 2. For the formation energy, the calculation gives 0.02 eV/atom.

a b c (Å): 8.1254 11.4663 10.8865
angles (deg): 71.59 121.30 148.15
Last column: nearest neighbours and their distance in Å.
Atoms (fractional coordinates):
Pm  0.9237  0.3846  0.2327  5 Pm 3.60-3.64, 5 Ho 3.61-3.67, 2 La 3.64-3.66
Ho  0.4626  0.6930  0.6155  9 Pm 3.60-3.64, 1 La 3.63, 2 Ho 3.63-3.65
Pm  0.8484  0.7709  0.4641  5 Ho 3.59-3.64, 6 Pm 3.59-3.64, 1 La 3.66
Pm  0.0000  0.0000  0.0000  4 La 3.61-3.63, 4 Ho 3.63-3.65, 4 Pm 3.64-3.67
La  0.3063  0.4597  0.0772  7 Pm 3.61-3.66, 4 Ho 3.61-3.64, 1 La 3.63
Pm  0.0763  0.6154  0.7673  5 Pm 3.60-3.64, 5 Ho 3.61-3.67, 2 La 3.64-3.66
Pm  0.1516  0.2291  0.5359  5 Ho 3.59-3.64, 6 Pm 3.59-3.64, 1 La 3.66
Ho  0.3834  0.0758  0.8443  7 Pm 3.59-3.67, 3 La 3.61-3.64, 2 Ho 3.63-3.65
Pm  0.7686  0.1559  0.6891  6 Pm 3.59-3.67, 4 Ho 3.60-3.63, 2 La 3.65
Ho  0.6166  0.9242  0.1557  7 Pm 3.59-3.67, 3 La 3.61-3.64, 2 Ho 3.63-3.65
Pm  0.2314  0.8441  0.3109  6 Pm 3.59-3.67, 4 Ho 3.60-3.63, 2 La 3.65
La  0.6937  0.5403  0.9228  7 Pm 3.61-3.66, 4 Ho 3.61-3.64, 1 La 3.63
Ho  0.5374  0.3070  0.3845  9 Pm 3.60-3.64, 1 La 3.63, 2 Ho 3.63-3.65